(1)
Compound: ScBePb2
Source: the Alexandria database
Functional: PBE
Structure: relaxed

Cell: 5.8716 5.8785 5.8622 Å, 138.71 137.88 60.44°
Atoms (fractional coordinates):
1 Pb 0.9973 0.9980 0.0001
2 Pb 0.2512 0.7498 0.4990
3 Sc 0.5048 0.5055 0.9999
4 Be 0.7466 0.2467 0.5010

Results
SG ... P1 (1)
Formation enthalpy at 0 K ... 0.6 eV/f.u.
Density ... 8.776 Mg/m³
Density of states at the Fermi level ... 0.423 states/eV per atom
Calculated volume ... 22.15 Å³/atom

=====

(2)
Compound: ScBe2Pb
Source: the Alexandria database
Functional: PBE
Structure: relaxed

Cell: 4.9801 4.9801 4.9801 Å, 130.68 130.69 72.32°
Atoms (fractional coordinates):
1 Pb 0.7500 0.2500 0.5000
2 Sc 0.2500 0.7500 0.5000
3 Be 0.9999 0.9999 0.0000
4 Be 0.5001 0.5001 0.0000

Results
SG ... I4/mmm (139)
Formation enthalpy at 0 K ... 1.4 eV/f.u.
Density ... 6.462 Mg/m³
Density of states at the Fermi level ... 0.492 states/eV per atom
Calculated volume ... 17.36 Å³/atom